[1]
LaTa2TcC4 | PBE | optimized geometry

a b c (Å): 5.9870 5.9870 11.2476
angles (deg): 90.00 90.00 147.84
Closest atoms and distances in Å follow each position.
Fractional coordinates of all 16 atoms:
1 La 0.0990 0.9010 0.7500  6 C 2.58-2.80
2 La 0.9010 0.0990 0.2500  6 C 2.58-2.80
3 Ta 0.3720 0.6280 0.5397  3 C 2.08-2.26
4 Ta 0.3720 0.6280 0.9603  3 C 2.08-2.26
5 Ta 0.6280 0.3720 0.0397  3 C 2.08-2.26
6 Ta 0.6280 0.3720 0.4603  3 C 2.08-2.26
7 Tc 0.1665 0.8335 0.2500  4 C 1.95-1.97
8 Tc 0.8335 0.1665 0.7500  4 C 1.95-1.97
9 C 0.0000 0.0000 0.0000  4 Ta 2.26
10 C 0.0000 0.0000 0.5000  4 Ta 2.26
11 C 0.2626 0.7374 0.1074  1 Tc 1.95, 1 Ta 2.08
12 C 0.2626 0.7374 0.3926  1 Tc 1.95, 1 Ta 2.08
13 C 0.4266 0.5734 0.7500  2 Tc 1.97
14 C 0.5734 0.4266 0.2500  2 Tc 1.97
15 C 0.7374 0.2626 0.6074  1 Tc 1.95, 1 Ta 2.08
16 C 0.7374 0.2626 0.8926  1 Tc 1.95, 1 Ta 2.08

Calculated values
Mass density in g cm⁻³: 10.01
Space group: Cmcm
Electronic total energy in eV per atom: -9.70

[2]
LaTaTcC2 | PBE | optimized geometry

a b c (Å): 4.2122 4.2122 5.5846
angles (deg): 90.00 90.00 90.00
Closest atoms and distances in Å follow each position.
Fractional coordinates of all 5 atoms:
1 La 0.0000 0.0000 0.0000  4 C 2.11
2 Ta 0.0000 0.0000 0.5000  2 La 2.79, 4 Tc 2.98
3 Tc 0.5000 0.5000 0.5000  4 Ta 2.98
4 C 0.0000 0.5000 0.0000  2 La 2.11
5 C 0.5000 0.0000 0.0000  2 La 2.11

Calculated values
Mass density in g cm⁻³: 7.41
Space group: P4/mmm
Electronic total energy in eV per atom: -6.06